1.
Entry from the Open Quantum Materials Database: a relaxed ScRePO crystal (PBE-GGA).

Geometry as POSCAR:
```
ScRePO
1.0
3.846 0.000 0.000
0.000 3.846 0.000
0.000 0.000 7.787
O P Re Sc
2 2 2 2
direct
0.000 0.000 0.000 O
0.500 0.500 0.000 O
0.500 0.000 0.315 P
0.000 0.500 0.685 P
0.000 0.000 0.500 Re
0.500 0.500 0.500 Re
0.000 0.500 0.118 Sc
0.500 0.000 0.882 Sc
```

## Properties
Calculated density (g/cm³): 8.0
Crystal system: tetragonal
Total magnetization (μB/f.u.): 0.00
Calculated volume (Å³ per cell): 115.2
Offset from the most stable computed form (meV/atom): 0
Electronic total energy (eV/atom): -8.88

2.
Entry from the Open Quantum Materials Database: a relaxed ScRePO crystal (PBE-GGA).

Geometry as POSCAR:
```
ScRePO
1.0
4.178 0.000 0.000
0.000 4.178 0.000
0.000 0.000 6.217
O P Re Sc
2 2 2 2
direct
0.000 0.000 0.000 O
0.500 0.500 0.000 O
0.500 0.000 0.243 P
0.000 0.500 0.757 P
0.000 0.500 0.142 Re
0.500 0.000 0.858 Re
0.000 0.000 0.500 Sc
0.500 0.500 0.500 Sc
```

## Properties
Calculated density (g/cm³): 8.5
Crystal system: tetragonal
Total magnetization (μB/f.u.): 0.01
Calculated volume (Å³ per cell): 108.5
Offset from the most stable computed form (meV/atom): 1402
Electronic total energy (eV/atom): -7.48

3.
Entry from the Open Quantum Materials Database: a relaxed ScRePO crystal (PBE-GGA).

Geometry as POSCAR:
```
ScRePO
1.0
-3.049 -2.152 -1.495
3.601 -3.875 -1.767
-0.465 -2.520 4.578
O P Re Sc
2 2 2 2
direct
0.000 0.694 0.384 O
0.000 0.306 0.884 O
0.500 0.198 0.374 P
0.500 0.802 0.874 P
0.000 0.997 0.127 Re
0.000 0.003 0.627 Re
0.500 0.694 0.370 Sc
0.500 0.306 0.870 Sc
```

## Properties
Calculated density (g/cm³): 7.9
Crystal system: orthorhombic
Total magnetization (μB/f.u.): 0.00
Calculated volume (Å³ per cell): 117.7
Offset from the most stable computed form (meV/atom): 402
Electronic total energy (eV/atom): -8.48

4.
Entry from the Open Quantum Materials Database: a relaxed ReSiPO crystal (PBE-GGA).

Geometry as POSCAR:
```
ReSiPO
1.0
2.302 -2.302 0.000
2.302 2.302 0.000
0.000 0.000 9.992
O P Re Si
2 2 2 2
direct
0.500 0.000 0.000 O
0.000 0.500 0.000 O
0.500 0.500 0.259 P
0.000 0.000 0.741 P
0.000 0.000 0.136 Re
0.500 0.500 0.864 Re
0.500 0.000 0.500 Si
0.000 0.500 0.500 Si
```

## Properties
Calculated density (g/cm³): 8.2
Crystal system: tetragonal
Total magnetization (μB/f.u.): 0.00
Calculated volume (Å³ per cell): 105.9
Offset from the most stable computed form (meV/atom): 487
Electronic total energy (eV/atom): -6.96

5.
Entry from the Open Quantum Materials Database: a relaxed ReSiPO crystal (PBE-GGA).

Geometry as POSCAR:
```
ReSiPO
1.0
3.600 0.000 0.000
0.000 3.600 0.000
0.000 0.000 9.423
O P Re Si
2 2 2 2
direct
0.000 0.000 0.000 O
0.500 0.500 0.000 O
0.500 0.000 0.319 P
0.000 0.500 0.681 P
0.000 0.000 0.500 Re
0.500 0.500 0.500 Re
0.000 0.500 0.098 Si
0.500 0.000 0.902 Si
```

## Properties
Calculated density (g/cm³): 7.1
Crystal system: tetragonal
Total magnetization (μB/f.u.): 0.01
Calculated volume (Å³ per cell): 122.1
Offset from the most stable computed form (meV/atom): 0
Electronic total energy (eV/atom): -7.45

6.
Entry from the Open Quantum Materials Database: a relaxed ReSiPO crystal (PBE-GGA).

Geometry as POSCAR:
```
ReSiPO
1.0
3.363 0.000 0.000
0.000 5.811 0.000
0.000 0.000 5.547
O P Re Si
2 2 2 2
direct
0.000 0.234 0.129 O
0.000 0.766 0.629 O
0.500 0.799 0.128 P
0.500 0.201 0.628 P
0.000 0.430 0.455 Re
0.000 0.570 0.955 Re
0.500 0.192 0.035 Si
0.500 0.808 0.535 Si
```

## Properties
Calculated density (g/cm³): 8.0
Crystal system: orthorhombic
Total magnetization (μB/f.u.): 0.00
Calculated volume (Å³ per cell): 108.4
Offset from the most stable computed form (meV/atom): 116
Electronic total energy (eV/atom): -7.33

What is the formula in the second record? ScRePO

Which formula does entry 2 have? ScRePO

Which of these has the lowest electronic total energy? number 1